(1)
Ag3Ru4 | PBE | relaxed

Cell lengths 2.7901, 2.7901, 28.2136 Å; angles 90.00, 90.00, 90.00 degrees
Space group I4/mmm (No. 139)
One atom of each set of equivalent atoms:
Ag 0.0000 0.0000 0.0000 (multiplicity 2)
Ag 0.0000 0.0000 0.2891 (multiplicity 4)
Ru 0.0000 0.0000 0.1343 (multiplicity 4)
Ru 0.0000 0.0000 0.4237 (multiplicity 4)

Output
Calculated volume ... 15.7 A^3/atom
Calculated total energy ... -87.0 eV for the cell shown
Total magnetic moment ... 0.0 μB per cell
Formation energy ... 207 kJ/mol of formula units


(2)
ZrHI2 | PBE | relaxed

Cell lengths 6.2306, 6.2306, 10.9012 Å; angles 90.00, 90.00, 90.00 degrees
Space group I-42d (No. 122)
One atom of each set of equivalent atoms:
Zr 0.0000 0.0000 0.0000 (multiplicity 4)
H 0.0000 0.0000 0.5000 (multiplicity 4)
I 0.1916 0.2500 0.6250 (multiplicity 8)

Output
Calculated volume ... 26.4 A^3/atom
Calculated total energy ... -55.7 eV for the cell shown
Total magnetic moment ... 0.0 μB per cell


(3)
SrLaMn2 | PBE | relaxed

Cell lengths 3.6656, 3.6656, 29.2644 Å; angles 90.00, 90.00, 120.00 degrees
Space group R-3m (No. 166, hexagonal axes)
One atom of each set of equivalent atoms:
Sr 0.0000 0.0000 0.0000 (multiplicity 3)
La 0.0000 0.0000 0.5000 (multiplicity 3)
Mn 0.0000 0.0000 0.2455 (multiplicity 6)

Output
Calculated volume ... 28.4 A^3/atom
Excess energy over the best structure of this formula in the dataset ... 1.76 eV/f.u.
Calculated total energy ... -66.4 eV for the cell shown
Total magnetic moment ... 21.4 μB per cell
Formation energy ... 272 kJ/mol of formula units


(4)
Y2TmFe9 | PBE | relaxed

Cell lengths 5.0872, 5.0872, 24.2178 Å; angles 90.00, 90.00, 120.00 degrees
Space group R-3m (No. 166, hexagonal axes)
One atom of each set of equivalent atoms:
Y 0.0000 0.0000 0.1417 (multiplicity 6)
Tm 0.0000 0.0000 0.0000 (multiplicity 3)
Fe 0.0000 0.0000 0.3329 (multiplicity 6)
Fe 0.0000 0.0000 0.5000 (multiplicity 3)
Fe 0.0004 0.5002 0.0807 (multiplicity 18)

Output
Calculated volume ... 15.1 A^3/atom
Calculated total energy ... -283.3 eV for the cell shown
Total magnetic moment ... 50.9 μB per cell
Formation energy ... -85 kJ/mol of formula units


(5)
Zn2OsPt | PBE | relaxed

Cell lengths 6.1850, 6.1850, 6.1850 Å; angles 90.00, 90.00, 90.00 degrees
Space group F-43m (No. 216)
One atom of each set of equivalent atoms:
Zn 0.0000 0.0000 0.0000 (multiplicity 4)
Zn 0.2500 0.2500 0.2500 (multiplicity 4)
Os 0.2500 0.2500 0.7500 (multiplicity 4)
Pt 0.0000 0.0000 0.5000 (multiplicity 4)

Output
Calculated volume ... 14.8 A^3/atom
Calculated total energy ... -76.0 eV for the cell shown
Total magnetic moment ... 4.2 μB per cell
Formation energy ... 78 kJ/mol of formula units


(6)
Tb3Sn4Au3 | PBE | relaxed

Cell lengths 9.9669, 9.9669, 9.9669 Å; angles 90.00, 90.00, 90.00 degrees
Space group I-43d (No. 220)
One atom of each set of equivalent atoms:
Tb 0.0000 0.2500 0.8750 (multiplicity 12)
Sn 0.0879 0.4121 0.5879 (multiplicity 16)
Au 0.0000 0.2500 0.3750 (multiplicity 12)

Output
Calculated volume ... 24.8 A^3/atom
Calculated total energy ... -185.8 eV for the cell shown
Total magnetic moment ... 0.0 μB per cell
Formation energy ... -647 kJ/mol of formula units


(7)
KLa2FeS | PBE | relaxed

Cell lengths 5.2046, 5.2046, 4.9085 Å; angles 90.00, 90.00, 90.00 degrees
Space group P4/mmm (No. 123)
One atom of each set of equivalent atoms:
K 0.0000 0.0000 0.0000 (multiplicity 1)
La 0.0000 0.5000 0.5000 (multiplicity 2)
Fe 0.5000 0.5000 0.5000 (multiplicity 1)
S 0.5000 0.5000 0.0000 (multiplicity 1)

Output
Raw formation energy ... -0.1 eV/f.u.
Calculated volume ... 26.6 A^3/atom
Calculated total energy ... -23.6 eV for the cell shown
Total magnetic moment ... 0.0 μB per cell


(8)
RbTl12 | PBE | relaxed

Cell lengths 11.4295, 11.4295, 6.6401 Å; angles 90.00, 90.00, 90.00 degrees
Space group I4/mmm (No. 139)
One atom of each set of equivalent atoms:
Rb 0.0000 0.0000 0.0000 (multiplicity 2)
Tl 0.0000 0.2157 0.5000 (multiplicity 8)
Tl 0.0000 0.3586 0.0000 (multiplicity 8)
Tl 0.2500 0.2500 0.2500 (multiplicity 8)

Output
Calculated volume ... 33.4 A^3/atom
Calculated total energy ... -59.0 eV for the cell shown
Total magnetic moment ... 0.0 μB per cell
Formation energy ... -12 kJ/mol of formula units


calculated total energy of number 8 (RbTl12)? -59.0 eV for the cell shown


Which of these has the highest calculated volume? RbTl12


What is the calculated volume in the fourth record? 15.1 A^3/atom


Which of these has the lowest calculated total energy? Y2TmFe9